Record 1
Below is a crystal of LaNdMg2 relaxed with PBEsol, with properties calculated at the SCAN level.

Cell: 7.742 7.742 7.742 Å, 90.00 90.00 90.00°
Space group Fm-3m (No. 225)
Asymmetric unit:
La 0.000 0.000 0.000 x4
Nd 0.000 0.000 0.500 x4
Mg 0.250 0.250 0.250 x8

## Properties
E = -24.288 eV per atom
energy of formation from the pure elements = -0.129 eV/atom

Record 2
Below is a crystal of Tc2AgMo relaxed with PBEsol, with properties calculated at the SCAN level.

Cell: 2.748 3.925 5.540 Å, 90.00 90.26 90.00°
Space group Pm (No. 6)
Asymmetric unit:
Tc 0.000 0.000 0.000 x1
Tc 0.483 0.500 0.788 x1
Ag 0.499 0.500 0.280 x1
Mo 0.005 0.000 0.554 x1

## Properties
E = -33.762 eV per atom
energy of formation from the pure elements = 0.331 eV/atom
polymorph energy (0 for the lowest one) = 0.000 eV per atom